A.
Cr2W: relaxed, GGA-PBEsol.

magnetization: 0.0 μB per cell
SG: C2/m

a b c (Å): 4.882 4.882 5.901
angles (deg): 108.00 108.00 35.17
Sites, in units of the cell vectors:
Cr 0.001 0.001 0.264
Cr 0.338 0.338 0.424
Cr 0.662 0.662 0.576
Cr 0.999 0.999 0.736
W 0.335 0.335 0.908
W 0.665 0.665 0.092

B.
Cr2W: relaxed, GGA-PBEsol.

magnetization: 0.0 μB per cell
SG: Fd-3m

a b c (Å): 4.758 4.758 4.758
angles (deg): 60.00 60.00 60.00
Sites, in units of the cell vectors:
Cr 0.000 0.000 0.000
Cr 0.000 0.000 0.500
Cr 0.000 0.500 0.000
Cr 0.500 0.000 0.000
W 0.375 0.375 0.375
W 0.625 0.625 0.625

What is the most stable structure shown above? It is B.